(1)
# Pr2NdSm2Dy2, relaxed, DFT PBE
# Electronic total energy ... -4.69 eV/atom
# Total moment ... 0.000 Bohr magnetons per cell
data_Pr2NdSm2Dy2
_cell_length_a 11.493
_cell_length_b 5.139
_cell_length_c 8.143
_cell_angle_alpha 90.00
_cell_angle_beta 98.07
_cell_angle_gamma 90.00
_symmetry_space_group_name_H-M 'C 1 2/m 1'
_symmetry_Int_Tables_number 12
loop_
_symmetry_equiv_pos_as_xyz
'x,y,z'
'-x,-y,-z'
'-x,y,-z'
'x,-y,z'
'x+1/2,y+1/2,z'
'-x+1/2,-y+1/2,-z'
'-x+1/2,y+1/2,-z'
'x+1/2,-y+1/2,z'
loop_
_atom_site_label
_atom_site_type_symbol
_atom_site_fract_x
_atom_site_fract_y
_atom_site_fract_z
_atom_site_occupancy
Pr1 Pr 0.143 0.000 0.428 1
Nd1 Nd 0.000 0.000 0.000 1
Sm1 Sm 0.071 0.500 0.718 1
Dy1 Dy 0.215 0.500 0.140 1

(2)
# Th6AsPt3S2, relaxed, DFT PBE
# Electronic total energy ... -7.66 eV/atom
# Total moment ... 0.000 Bohr magnetons per cell
data_Th6AsPt3S2
_cell_length_a 18.558
_cell_length_b 4.120
_cell_length_c 8.567
_cell_angle_alpha 90.00
_cell_angle_beta 106.80
_cell_angle_gamma 90.00
_symmetry_space_group_name_H-M 'C 1 2/m 1'
_symmetry_Int_Tables_number 12
loop_
_symmetry_equiv_pos_as_xyz
'x,y,z'
'-x,-y,-z'
'-x,y,-z'
'x,-y,z'
'x+1/2,y+1/2,z'
'-x+1/2,-y+1/2,-z'
'-x+1/2,y+1/2,-z'
'x+1/2,-y+1/2,z'
loop_
_atom_site_label
_atom_site_type_symbol
_atom_site_fract_x
_atom_site_fract_y
_atom_site_fract_z
_atom_site_occupancy
Th1 Th 0.002 0.000 0.244 1
Th2 Th 0.167 0.500 0.080 1
Th3 Th 0.170 0.500 0.578 1
As1 As 0.000 0.500 0.500 1
Pt1 Pt 0.000 0.500 0.000 1
Pt2 Pt 0.167 0.000 0.327 1
S1 S 0.165 0.000 0.828 1

(3)
# MgCd11, relaxed, DFT PBE
# Electronic total energy ... -0.91 eV/atom
# Total moment ... 0.000 Bohr magnetons per cell
data_MgCd11
_cell_length_a 12.237
_cell_length_b 12.237
_cell_length_c 7.694
_cell_angle_alpha 90.00
_cell_angle_beta 90.00
_cell_angle_gamma 90.00
_symmetry_space_group_name_H-M 'I 41/a m d'
_symmetry_Int_Tables_number 141
loop_
_symmetry_equiv_pos_as_xyz
'x,y,z'
'-x,-y,-z'
'-y+1/4,x+3/4,z+1/4'
'y+1/4,-x+3/4,-z+1/4'
'-x+1/2,-y,z+1/2'
'x+1/2,y,-z+1/2'
'y+1/4,-x+1/4,z+3/4'
'-y+1/4,x+1/4,-z+3/4'
'x,-y,-z'
'-x,y,z'
'-y+1/4,-x+1/4,-z+3/4'
'y+1/4,x+1/4,z+3/4'
'-x+1/2,y,-z+1/2'
'x+1/2,-y,z+1/2'
'y+1/4,x+3/4,-z+1/4'
'-y+1/4,-x+3/4,z+1/4'
'x+1/2,y+1/2,z+1/2'
'-x+1/2,-y+1/2,-z+1/2'
'-y+3/4,x+1/4,z+3/4'
'y+3/4,-x+1/4,-z+3/4'
'-x,-y+1/2,z'
'x,y+1/2,-z'
'y+3/4,-x+3/4,z+1/4'
'-y+3/4,x+3/4,-z+1/4'
'x+1/2,-y+1/2,-z+1/2'
'-x+1/2,y+1/2,z+1/2'
'-y+3/4,-x+3/4,-z+1/4'
'y+3/4,x+3/4,z+1/4'
'-x,y+1/2,-z'
'x,-y+1/2,z'
'y+3/4,x+1/4,-z+3/4'
'-y+3/4,-x+1/4,z+3/4'
loop_
_atom_site_label
_atom_site_type_symbol
_atom_site_fract_x
_atom_site_fract_y
_atom_site_fract_z
_atom_site_occupancy
Mg1 Mg 0.000 0.250 0.375 1
Cd1 Cd 0.000 0.000 0.000 1
Cd2 Cd 0.000 0.250 0.875 1
Cd3 Cd 0.120 0.052 0.669 1

(4)
# TbBi3, relaxed, DFT PBE
# Electronic total energy ... -4.44 eV/atom
# Total moment ... 0.000 Bohr magnetons per cell
data_TbBi3
_cell_length_a 4.540
_cell_length_b 6.321
_cell_length_c 4.697
_cell_angle_alpha 90.00
_cell_angle_beta 90.00
_cell_angle_gamma 90.00
_symmetry_space_group_name_H-M 'P m m 2'
_symmetry_Int_Tables_number 25
loop_
_symmetry_equiv_pos_as_xyz
'x,y,z'
'-x,-y,z'
'-x,y,z'
'x,-y,z'
loop_
_atom_site_label
_atom_site_type_symbol
_atom_site_fract_x
_atom_site_fract_y
_atom_site_fract_z
_atom_site_occupancy
Tb1 Tb 0.000 0.000 0.000 1
Bi1 Bi 0.000 0.500 0.836 1
Bi2 Bi 0.500 0.000 0.485 1
Bi3 Bi 0.500 0.500 0.279 1

(5)
# YTa2Au, relaxed, DFT PBE
# Electronic total energy ... -8.01 eV/atom
# Total moment ... 0.000 Bohr magnetons per cell
data_YTa2Au
_cell_length_a 2.974
_cell_length_b 4.804
_cell_length_c 5.756
_cell_angle_alpha 90.00
_cell_angle_beta 90.00
_cell_angle_gamma 90.00
_symmetry_space_group_name_H-M 'P m m m'
_symmetry_Int_Tables_number 47
loop_
_symmetry_equiv_pos_as_xyz
'x,y,z'
'-x,-y,-z'
'-x,-y,z'
'x,y,-z'
'x,-y,-z'
'-x,y,z'
'-x,y,-z'
'x,-y,z'
loop_
_atom_site_label
_atom_site_type_symbol
_atom_site_fract_x
_atom_site_fract_y
_atom_site_fract_z
_atom_site_occupancy
Y1 Y 0.000 0.000 0.000 1
Ta1 Ta 0.500 0.500 0.249 1
Au1 Au 0.000 0.000 0.500 1

(6)
# La2MnSb, relaxed, DFT PBE
# Electronic total energy ... -6.06 eV/atom
# Total moment ... 5.612 Bohr magnetons per cell
data_La2MnSb
_cell_length_a 4.7292
_cell_length_b 4.7292
_cell_length_c 16.8346
_cell_angle_alpha 90.00
_cell_angle_beta 90.00
_cell_angle_gamma 120.00
_symmetry_space_group_name_H-M 'R 3 m'
_symmetry_Int_Tables_number 160
_symmetry_space_group_name_Hall 'R 3 -2"'
loop_
_atom_site_label
_atom_site_type_symbol
_atom_site_fract_x
_atom_site_fract_y
_atom_site_fract_z
_atom_site_occupancy
La1 La 0.0000 0.0000 0.0000 1
La2 La 0.0000 0.0000 0.2101 1
Mn1 Mn 0.0000 0.0000 0.4341 1
Sb1 Sb 0.0000 0.0000 0.7777 1

(7)
# SiPtRh2Br, relaxed, DFT PBE
# Electronic total energy ... -4.37 eV/atom
# Total moment ... 0.000 Bohr magnetons per cell
data_SiPtRh2Br
_cell_length_a 4.600
_cell_length_b 4.600
_cell_length_c 4.770
_cell_angle_alpha 90.00
_cell_angle_beta 90.00
_cell_angle_gamma 90.00
_symmetry_space_group_name_H-M 'P 4/m m m'
_symmetry_Int_Tables_number 123
_symmetry_space_group_name_Hall '-P 4 2'
loop_
_atom_site_label
_atom_site_type_symbol
_atom_site_fract_x
_atom_site_fract_y
_atom_site_fract_z
_atom_site_occupancy
Si1 Si 0.000 0.000 0.000 1
Pt1 Pt 0.500 0.500 0.000 1
Rh1 Rh 0.000 0.500 0.500 1
Br1 Br 0.500 0.500 0.500 1

(8)
# Pr2Sn6Ru, relaxed, DFT PBE
# Electronic total energy ... -5.05 eV/atom
# Total moment ... 0.000 Bohr magnetons per cell
data_Pr2Sn6Ru
_cell_length_a 7.058
_cell_length_b 4.039
_cell_length_c 9.395
_cell_angle_alpha 90.00
_cell_angle_beta 111.63
_cell_angle_gamma 90.00
_symmetry_space_group_name_H-M 'P 1 2/m 1'
_symmetry_Int_Tables_number 10
loop_
_symmetry_equiv_pos_as_xyz
'x,y,z'
'-x,-y,-z'
'-x,y,-z'
'x,-y,z'
loop_
_atom_site_label
_atom_site_type_symbol
_atom_site_fract_x
_atom_site_fract_y
_atom_site_fract_z
_atom_site_occupancy
Pr1 Pr 0.218 0.000 0.438 1
Sn1 Sn 0.161 0.500 0.729 1
Sn2 Sn 0.232 0.000 0.002 1
Sn3 Sn 0.435 0.500 0.274 1
Ru1 Ru 0.500 0.500 0.000 1

(9)
# TmAgBi2S5, relaxed, DFT PBE
# Electronic total energy ... -4.71 eV/atom
# Total moment ... 0.000 Bohr magnetons per cell
data_TmAgBi2S5
_cell_length_a 4.001
_cell_length_b 18.791
_cell_length_c 13.000
_cell_angle_alpha 90.00
_cell_angle_beta 90.00
_cell_angle_gamma 90.00
_symmetry_space_group_name_H-M 'C m c 21'
_symmetry_Int_Tables_number 36
loop_
_symmetry_equiv_pos_as_xyz
'x,y,z'
'-x,-y,z+1/2'
'-x,y,z'
'x,-y,z+1/2'
'x+1/2,y+1/2,z'
'-x+1/2,-y+1/2,z+1/2'
'-x+1/2,y+1/2,z'
'x+1/2,-y+1/2,z+1/2'
loop_
_atom_site_label
_atom_site_type_symbol
_atom_site_fract_x
_atom_site_fract_y
_atom_site_fract_z
_atom_site_occupancy
Tm1 Tm 0.000 0.203 0.000 1
Ag1 Ag 0.000 0.434 0.431 1
Bi1 Bi 0.000 0.088 0.241 1
Bi2 Bi 0.000 0.162 0.685 1
S1 S 0.000 0.063 0.048 1
S2 S 0.000 0.298 0.362 1
S3 S 0.000 0.298 0.650 1
S4 S 0.000 0.345 0.046 1
S5 S 0.000 0.495 0.264 1

(10)
# CsKNa2Sn, relaxed, DFT PBE
# Electronic total energy ... -1.78 eV/atom
# Total moment ... 0.000 Bohr magnetons per cell
data_CsKNa2Sn
_cell_length_a 6.197
_cell_length_b 6.197
_cell_length_c 6.796
_cell_angle_alpha 90.00
_cell_angle_beta 90.00
_cell_angle_gamma 90.00
_symmetry_space_group_name_H-M 'P 4/m m m'
_symmetry_Int_Tables_number 123
_symmetry_space_group_name_Hall '-P 4 2'
loop_
_atom_site_label
_atom_site_type_symbol
_atom_site_fract_x
_atom_site_fract_y
_atom_site_fract_z
_atom_site_occupancy
Cs1 Cs 0.000 0.000 0.000 1
K1 K 0.500 0.500 0.000 1
Na1 Na 0.000 0.500 0.500 1
Sn1 Sn 0.500 0.500 0.500 1

(11)
# Pr4Tl2Cd5, relaxed, DFT PBE
# Electronic total energy ... -2.84 eV/atom
# Total moment ... 0.004 Bohr magnetons per cell
data_Pr4Tl2Cd5
_cell_length_a 8.132
_cell_length_b 3.688
_cell_length_c 10.548
_cell_angle_alpha 90.00
_cell_angle_beta 95.79
_cell_angle_gamma 90.00
_symmetry_space_group_name_H-M 'P 1 2/m 1'
_symmetry_Int_Tables_number 10
loop_
_symmetry_equiv_pos_as_xyz
'x,y,z'
'-x,-y,-z'
'-x,y,-z'
'x,-y,z'
loop_
_atom_site_label
_atom_site_type_symbol
_atom_site_fract_x
_atom_site_fract_y
_atom_site_fract_z
_atom_site_occupancy
Pr1 Pr 0.171 0.000 0.390 1
Pr2 Pr 0.278 0.000 0.942 1
Tl1 Tl 0.065 0.500 0.140 1
Cd1 Cd 0.196 0.500 0.661 1
Cd2 Cd 0.447 0.500 0.209 1
Cd3 Cd 0.500 0.500 0.500 1

(12)
# Ce6SnRh, relaxed, DFT PBE
# Electronic total energy ... -6.02 eV/atom
# Total moment ... 0.122 Bohr magnetons per cell
data_Ce6SnRh
_cell_length_a 7.221
_cell_length_b 10.821
_cell_length_c 6.230
_cell_angle_alpha 90.00
_cell_angle_beta 122.64
_cell_angle_gamma 90.00
_symmetry_space_group_name_H-M 'C 1 2/m 1'
_symmetry_Int_Tables_number 12
loop_
_symmetry_equiv_pos_as_xyz
'x,y,z'
'-x,-y,-z'
'-x,y,-z'
'x,-y,z'
'x+1/2,y+1/2,z'
'-x+1/2,-y+1/2,-z'
'-x+1/2,y+1/2,-z'
'x+1/2,-y+1/2,z'
loop_
_atom_site_label
_atom_site_type_symbol
_atom_site_fract_x
_atom_site_fract_y
_atom_site_fract_z
_atom_site_occupancy
Ce1 Ce 0.190 0.241 0.234 1
Ce2 Ce 0.230 0.000 0.795 1
Sn1 Sn 0.000 0.500 0.500 1
Rh1 Rh 0.000 0.000 0.000 1